Entry 1:
CsAcCrF6 after structural relaxation. Source: the Alexandria database, functional GGA+U.

The structure in POSCAR format:
```
CsAcCrF6
1.0
8.2263 0.0000 0.0000
0.0000 8.0797 0.0000
-4.1131 -4.0399 5.3639
Cs Ac Cr F
2 2 2 12
Cartesian
4.1131 2.0199 3.5825
0.0000 2.0199 1.7815
2.0566 -2.0199 2.6820
-2.0566 -2.0199 2.6820
4.1131 4.0399 0.0000
4.1131 0.0000 0.0000
4.1131 6.0598 1.1763
4.1131 -2.0199 4.0525
5.5993 0.1323 1.4145
2.6270 3.9076 1.4145
2.6270 0.1323 1.4145
5.5993 3.9076 1.4145
0.0000 -2.0199 4.1876
0.0000 6.0598 1.3114
-1.4862 3.9076 3.9494
1.4862 0.1323 3.9494
1.4862 3.9076 3.9494
-1.4862 0.1323 3.9494
```

Results
The density of states at the Fermi level is 0.0 states/eV/f.u. The total energy comes out at -5.96 eV per atom. The value obtained for the density is 4.9 g/cm³. As for the space-group type: Imma (74).

Entry 2:
Cs2AcCrF8 after structural relaxation. Source: the Alexandria database, functional GGA+U.

The structure in POSCAR format:
```
Cs2AcCrF8
1.0
-1.9922 3.8703 -1.0465
-1.5177 0.2834 6.6904
6.5059 3.7055 1.3190
Cs Ac Cr F
2 1 1 8
Cartesian
3.2420 4.9231 3.8350
-0.2461 2.9361 3.1279
3.2529 1.8528 0.6595
0.0000 0.0000 0.0000
-0.0648 1.3397 5.7207
3.9783 6.3962 6.2273
-0.7238 4.3639 0.4749
3.0607 6.5194 1.2422
-0.9824 1.4630 0.7356
3.7197 3.4953 6.4880
1.0178 4.0570 5.4919
1.9781 3.8021 1.4711
```

Results
The density of states at the Fermi level is 0.0 states/eV/f.u. The total energy comes out at -5.52 eV per atom. The value obtained for the density is 5.0 g/cm³. As for the space-group type: P2/m (10).

Entry 3:
Cs3Ac3CrO8 after structural relaxation. Source: the Alexandria database, functional GGA+U.

The structure in POSCAR format:
```
Cs3Ac3CrO8
1.0
-4.0065 -4.0390 4.6278
6.0265 -2.9456 -3.1641
1.2737 5.5097 5.9114
Cs Ac Cr O
3 3 1 8
Cartesian
0.0000 0.0000 0.0000
3.0133 -1.4728 -1.5821
1.0100 -3.4923 0.7318
-1.3664 0.7353 5.2696
1.6469 -0.7375 3.6875
3.6501 1.2820 1.3736
0.6368 2.7548 2.9557
2.6368 -0.9661 1.4396
0.6569 -0.5089 5.9354
0.8631 -3.1287 3.8273
2.4306 1.6538 3.5477
-2.6017 -1.4647 5.7084
5.8954 -0.0102 1.6666
-0.2378 0.9184 2.9780
3.5315 -2.3933 4.3970
```

Results
The total energy comes out at -6.37 eV per atom. The value obtained for the density is 6.3 g/cm³. As for the space-group type: C2/m (12).

Entry 4:
Cs2AcCrO4 after structural relaxation. Source: the Alexandria database, functional GGA+U.

The structure in POSCAR format:
```
Cs2AcCrO4
1.0
6.3936 0.0000 0.0000
0.0000 8.0085 0.0000
0.0000 0.0000 7.5790
Cs Ac Cr O
4 2 2 8
Cartesian
3.0712 2.7896 1.9552
3.0712 2.7896 5.6237
6.2681 5.2189 5.7447
6.2681 5.2189 1.8342
6.3712 0.8413 3.7895
3.1744 7.1671 0.0000
3.2003 6.6668 3.7895
0.0035 1.3417 0.0000
1.8896 1.1445 0.0000
5.0864 6.8639 3.7895
2.2867 0.3245 3.7895
5.4835 7.6840 0.0000
2.8420 5.8690 5.5786
6.0388 2.1395 1.7891
6.0388 2.1395 5.7899
2.8420 5.8690 2.0004
```

Results
The total energy comes out at -6.07 eV per atom. The value obtained for the density is 5.2 g/cm³. As for the space-group type: Pmn2_1 (31).

Entry 5:
CsAcCrO4 after structural relaxation. Source: the Alexandria database, functional GGA+U.

The structure in POSCAR format:
```
CsAcCrO4
1.0
6.2989 0.0000 0.0720
0.0000 6.0785 0.0000
-2.3736 0.0000 7.8521
Cs Ac Cr O
2 2 2 8
Cartesian
2.2115 4.5589 7.3122
1.7139 1.5196 0.6119
3.8378 4.5589 3.5842
0.0875 1.5196 4.3400
0.7337 4.5589 2.6389
3.1916 1.5196 5.2852
4.3772 2.9034 5.3774
-0.4519 5.9426 2.5468
-0.4519 3.1751 2.5468
4.3772 0.1359 5.3774
2.1902 4.5589 1.6146
1.7351 1.5196 6.3095
1.3669 4.5589 4.3131
2.5584 1.5196 3.6110
```

Results
The density of states at the Fermi level is 0.0 states/eV/f.u. The total energy comes out at -6.87 eV per atom. The value obtained for the density is 5.2 g/cm³. As for the space-group type: P2_1/m (11).